[1]
K2HgGe | PBE | relaxed

Cell: 8.3280 8.3280 8.3280 Å, 90.00 90.00 90.00°
Space group Fm-3m (No. 225)
Asymmetric unit:
1 K 0.2500 0.2500 0.2500 [8 per cell]
2 Hg 0.0000 0.0000 0.0000 [4 per cell]
3 Ge 0.0000 0.0000 0.5000 [4 per cell]

Computed properties:
Volume, Å³/f.u.: 144
Density of states at the Fermi level, states/eV/cell: 9.26
Total energy, eV per formula unit: -6.8
Calculated formation energy, eV per atom: 0.083

[2]
KHg3Ge | PBE | relaxed

Cell: 5.5431 5.5431 5.5431 Å, 90.00 90.00 90.00°
Space group Pm-3m (No. 221)
Asymmetric unit:
1 K 0.0000 0.0000 0.0000 [1 per cell]
2 Hg 0.0000 0.5000 0.5000 [3 per cell]
3 Ge 0.5000 0.5000 0.5000 [1 per cell]

Computed properties:
Distance to the lowest polymorph of the same formula, eV per atom: 0.000
Volume, Å³/f.u.: 170
Density of states at the Fermi level, states/eV/cell: 2.72
Total energy, eV per formula unit: -6.8
Calculated formation energy, eV per atom: -0.038

[3]
K2HgGe | PBE | relaxed

Cell: 9.5125 9.5125 6.2352 Å, 90.00 90.00 90.00°
Space group I-42d (No. 122)
Asymmetric unit:
1 K 0.2373 0.2500 0.1250 [8 per cell]
2 Hg 0.0000 0.0000 0.5000 [4 per cell]
3 Ge 0.0000 0.0000 0.0000 [4 per cell]

Computed properties:
Volume, Å³/f.u.: 141
Density of states at the Fermi level, states/eV/cell: 10.95
Total energy, eV per formula unit: -6.5
Calculated formation energy, eV per atom: 0.153

[4]
KHg2Ge2 | PBE | relaxed

Cell: 8.8123 8.8123 3.2422 Å, 90.00 90.00 90.00°
Space group P4/mbm (No. 127)
Asymmetric unit:
1 K 0.0000 0.0000 0.0000 [2 per cell]
2 Hg 0.1468 0.3532 0.0000 [4 per cell]
3 Ge 0.1441 0.6441 0.5000 [4 per cell]

Computed properties:
Distance to the lowest polymorph of the same formula, eV per atom: 0.180
Volume, Å³/f.u.: 126
Density of states at the Fermi level, states/eV/cell: 3.82
Total energy, eV per formula unit: -10.3
Calculated formation energy, eV per atom: 0.134

[5]
KHgGe3 | PBE | relaxed

Cell: 5.4102 5.4102 5.4102 Å, 90.00 90.00 90.00°
Space group Pm-3m (No. 221)
Asymmetric unit:
1 K 0.0000 0.0000 0.0000 [1 per cell]
2 Hg 0.5000 0.5000 0.5000 [1 per cell]
3 Ge 0.0000 0.5000 0.5000 [3 per cell]

Computed properties:
Distance to the lowest polymorph of the same formula, eV per atom: 0.000
Volume, Å³/f.u.: 158
Density of states at the Fermi level, states/eV/cell: 3.46
Total energy, eV per formula unit: -12.4
Calculated formation energy, eV per atom: 0.566

[6]
KHgGe2 | PBE | relaxed

Cell: 5.0423 5.0423 20.0581 Å, 90.00 90.00 90.00°
Space group I-42d (No. 122)
Asymmetric unit:
1 K 0.0000 0.0000 0.0000 [4 per cell]
2 Hg 0.0000 0.0000 0.5000 [4 per cell]
3 Ge 0.0546 0.2500 0.6250 [8 per cell]

Computed properties:
Volume, Å³/f.u.: 127
Density of states at the Fermi level, states/eV/cell: 7.79
Total energy, eV per formula unit: -10.2
Calculated formation energy, eV per atom: 0.120

[7]
KHgGe3 | PBE | relaxed

Cell: 5.6560 5.6560 5.6560 Å, 90.00 90.00 90.00°
Space group Pm-3m (No. 221)
Asymmetric unit:
1 K 0.0000 0.0000 0.0000 [1 per cell]
2 Hg 0.5000 0.5000 0.5000 [1 per cell]
3 Ge 0.0000 0.0000 0.5000 [3 per cell]

Computed properties:
Distance to the lowest polymorph of the same formula, eV per atom: 0.871
Volume, Å³/f.u.: 181
Density of states at the Fermi level, states/eV/cell: 5.56
Total energy, eV per formula unit: -8.1
Calculated formation energy, eV per atom: 1.437

[8]
KLiHg2Ge | PBE | relaxed

Cell: 5.5573 5.5573 5.0555 Å, 90.00 90.00 90.00°
Space group P4/mmm (No. 123)
Asymmetric unit:
1 K 0.0000 0.0000 0.0000 [1 per cell]
2 Li 0.5000 0.5000 0.0000 [1 per cell]
3 Hg 0.0000 0.5000 0.5000 [2 per cell]
4 Ge 0.5000 0.5000 0.5000 [1 per cell]

Computed properties:
Volume, Å³/f.u.: 156
Density of states at the Fermi level, states/eV/cell: 4.35
Total energy, eV per formula unit: -8.7
Calculated formation energy, eV per atom: -0.084

[9]
KMnHgGe2 | PBE | relaxed

Cell: 4.6161 4.6161 5.3355 Å, 90.00 90.00 90.00°
Space group P4/mmm (No. 123)
Asymmetric unit:
1 K 0.0000 0.0000 0.0000 [1 per cell]
2 Mn 0.5000 0.5000 0.5000 [1 per cell]
3 Hg 0.5000 0.5000 0.0000 [1 per cell]
4 Ge 0.0000 0.5000 0.5000 [2 per cell]

Computed properties:
Volume, Å³/f.u.: 114
Density of states at the Fermi level, states/eV/cell: 0.56
Total energy, eV per formula unit: -19.9
Calculated formation energy, eV per atom: -0.023

[10]
K2HgGeMo | PBE | relaxed

Cell: 6.7346 6.7346 4.8876 Å, 90.00 90.00 90.00°
Space group P4/mmm (No. 123)
Asymmetric unit:
1 K 0.0000 0.5000 0.0000 [2 per cell]
2 Hg 0.0000 0.0000 0.5000 [1 per cell]
3 Ge 0.5000 0.5000 0.5000 [1 per cell]
4 Mo 0.5000 0.5000 0.0000 [1 per cell]

Computed properties:
Volume, Å³/f.u.: 222
Density of states at the Fermi level, states/eV/cell: 2.29
Total energy, eV per formula unit: -14.5
Calculated formation energy, eV per atom: 0.689

[11]
KNa2HgGe | PBE | relaxed

Cell: 5.7662 5.7662 5.3660 Å, 90.00 90.00 90.00°
Space group P4/mmm (No. 123)
Asymmetric unit:
1 K 0.0000 0.0000 0.0000 [1 per cell]
2 Na 0.0000 0.5000 0.5000 [2 per cell]
3 Hg 0.5000 0.5000 0.0000 [1 per cell]
4 Ge 0.5000 0.5000 0.5000 [1 per cell]

Computed properties:
Volume, Å³/f.u.: 178
Density of states at the Fermi level, states/eV/cell: 2.04
Total energy, eV per formula unit: -8.8
Calculated formation energy, eV per atom: -0.039

[12]
KNiHg2Ge | PBE | relaxed

Cell: 5.2036 5.2036 4.5983 Å, 90.00 90.00 90.00°
Space group P4/mmm (No. 123)
Asymmetric unit:
1 K 0.0000 0.0000 0.0000 [1 per cell]
2 Ni 0.5000 0.5000 0.5000 [1 per cell]
3 Hg 0.0000 0.5000 0.5000 [2 per cell]
4 Ge 0.5000 0.5000 0.0000 [1 per cell]

Computed properties:
Volume, Å³/f.u.: 125
Density of states at the Fermi level, states/eV/cell: 3.07
Total energy, eV per formula unit: -12.5
Calculated formation energy, eV per atom: -0.078

[13]
KHg2GeO4 | PBE | relaxed

Cell: 6.0682 6.0682 7.3494 Å, 90.00 90.00 90.00°
Space group I-42m (No. 121)
Asymmetric unit:
1 K 0.0000 0.0000 0.0000 [2 per cell]
2 Hg 0.0000 0.5000 0.2500 [4 per cell]
3 Ge 0.0000 0.0000 0.5000 [2 per cell]
4 O 0.1739 0.1739 0.3626 [8 per cell]

Computed properties:
Energy relative to the elements, uncorrected, eV per atom: -1.027
Volume, Å³/f.u.: 135
Density of states at the Fermi level, states/eV/cell: 2.92
Total energy, eV per formula unit: -34.4

[14]
KHgGe2O6 | PBE | relaxed

Cell: 10.9708 11.5526 5.3030 Å, 90.00 101.01 90.00°
Space group C2/c (No. 15)
Asymmetric unit:
1 K 0.0000 0.1011 0.2500 [4 per cell]
2 Hg 0.0000 0.3012 0.7500 [4 per cell]
3 Ge 0.2032 0.4200 0.2239 [8 per cell]
4 O 0.1104 0.2977 0.1113 [8 per cell]
5 O 0.1377 0.1047 0.7367 [8 per cell]
6 O 0.1568 0.4551 0.5235 [8 per cell]

Computed properties:
Energy relative to the elements, uncorrected, eV per atom: -1.213
Volume, Å³/f.u.: 165
Density of states at the Fermi level, states/eV/cell: 24.83
Total energy, eV per formula unit: -52.5

[15]
K2HgGeO4 | PBE | relaxed

Cell: 6.0984 6.0984 7.6441 Å, 90.00 90.00 90.00°
Space group I-4 (No. 82)
Asymmetric unit:
1 K 0.0000 0.0000 0.0000 [2 per cell]
2 K 0.0000 0.5000 0.2500 [2 per cell]
3 Hg 0.0000 0.5000 0.7500 [2 per cell]
4 Ge 0.0000 0.0000 0.5000 [2 per cell]
5 O 0.1524 0.1963 0.6250 [8 per cell]

Computed properties:
Energy relative to the elements, uncorrected, eV per atom: -1.385
Volume, Å³/f.u.: 142
Total energy, eV per formula unit: -38.0

[16]
KHg2GeP | PBE | relaxed

Cell: 5.1938 5.1938 6.1518 Å, 90.00 90.00 90.00°
Space group P4/mmm (No. 123)
Asymmetric unit:
1 K 0.0000 0.0000 0.0000 [1 per cell]
2 Hg 0.0000 0.5000 0.5000 [2 per cell]
3 Ge 0.5000 0.5000 0.0000 [1 per cell]
4 P 0.0000 0.0000 0.5000 [1 per cell]

Computed properties:
Volume, Å³/f.u.: 166
Density of states at the Fermi level, states/eV/cell: 5.26
Total energy, eV per formula unit: -9.4
Calculated formation energy, eV per atom: 0.462

[17]
KHg2GePb | PBE | relaxed

Cell: 5.6446 5.6446 5.5419 Å, 90.00 90.00 90.00°
Space group P4/mmm (No. 123)
Asymmetric unit:
1 K 0.0000 0.0000 0.0000 [1 per cell]
2 Hg 0.0000 0.5000 0.5000 [2 per cell]
3 Ge 0.5000 0.5000 0.5000 [1 per cell]
4 Pb 0.5000 0.5000 0.0000 [1 per cell]

Computed properties:
Volume, Å³/f.u.: 177
Density of states at the Fermi level, states/eV/cell: 3.50
Total energy, eV per formula unit: -9.6
Calculated formation energy, eV per atom: 0.090

[18]
KHg2GePd | PBE | relaxed

Cell: 5.3999 5.3999 4.8519 Å, 90.00 90.00 90.00°
Space group P4/mmm (No. 123)
Asymmetric unit:
1 K 0.0000 0.0000 0.0000 [1 per cell]
2 Hg 0.0000 0.5000 0.5000 [2 per cell]
3 Ge 0.5000 0.5000 0.0000 [1 per cell]
4 Pd 0.5000 0.5000 0.5000 [1 per cell]

Computed properties:
Volume, Å³/f.u.: 141
Density of states at the Fermi level, states/eV/cell: 2.94
Total energy, eV per formula unit: -12.1
Calculated formation energy, eV per atom: -0.122

[19]
K2HgGePd | PBE | relaxed

Cell: 6.3338 6.3338 4.6972 Å, 90.00 90.00 90.00°
Space group P4/mmm (No. 123)
Asymmetric unit:
1 K 0.0000 0.5000 0.0000 [2 per cell]
2 Hg 0.0000 0.0000 0.5000 [1 per cell]
3 Ge 0.5000 0.5000 0.5000 [1 per cell]
4 Pd 0.5000 0.5000 0.0000 [1 per cell]

Computed properties:
Volume, Å³/f.u.: 188
Density of states at the Fermi level, states/eV/cell: 2.89
Total energy, eV per formula unit: -12.8
Calculated formation energy, eV per atom: -0.108

[20]
K2HgGePt | PBE | relaxed

Cell: 6.3488 6.3488 4.6816 Å, 90.00 90.00 90.00°
Space group P4/mmm (No. 123)
Asymmetric unit:
1 K 0.0000 0.5000 0.0000 [2 per cell]
2 Hg 0.0000 0.0000 0.5000 [1 per cell]
3 Ge 0.5000 0.5000 0.5000 [1 per cell]
4 Pt 0.5000 0.5000 0.0000 [1 per cell]

Computed properties:
Distance to the lowest polymorph of the same formula, eV per atom: 0.000
Volume, Å³/f.u.: 189
Density of states at the Fermi level, states/eV/cell: 3.23
Total energy, eV per formula unit: -14.2
Calculated formation energy, eV per atom: -0.202

[21]
K2HgGePt | PBE | relaxed

Cell: 6.3517 6.3517 5.0226 Å, 90.00 90.00 90.00°
Space group P4/mmm (No. 123)
Asymmetric unit:
1 K 0.0000 0.5000 0.0000 [2 per cell]
2 Hg 0.0000 0.0000 0.5000 [1 per cell]
3 Ge 0.0000 0.0000 0.0000 [1 per cell]
4 Pt 0.5000 0.5000 0.5000 [1 per cell]

Computed properties:
Distance to the lowest polymorph of the same formula, eV per atom: 0.797
Volume, Å³/f.u.: 203
Density of states at the Fermi level, states/eV/cell: 6.19
Total energy, eV per formula unit: -10.2
Calculated formation energy, eV per atom: 0.594

[22]
KHgGePt2 | PBE | relaxed

Cell: 5.1785 5.1785 5.4965 Å, 90.00 90.00 90.00°
Space group P4/mmm (No. 123)
Asymmetric unit:
1 K 0.0000 0.0000 0.0000 [1 per cell]
2 Hg 0.0000 0.0000 0.5000 [1 per cell]
3 Ge 0.5000 0.5000 0.5000 [1 per cell]
4 Pt 0.0000 0.5000 0.0000 [2 per cell]

Computed properties:
Volume, Å³/f.u.: 147
Density of states at the Fermi level, states/eV/cell: 7.74
Total energy, eV per formula unit: -9.8
Calculated formation energy, eV per atom: 1.652

[23]
KHg2GePt | PBE | relaxed

Cell: 5.4026 5.4026 4.8604 Å, 90.00 90.00 90.00°
Space group P4/mmm (No. 123)
Asymmetric unit:
1 K 0.0000 0.0000 0.0000 [1 per cell]
2 Hg 0.0000 0.5000 0.5000 [2 per cell]
3 Ge 0.5000 0.5000 0.0000 [1 per cell]
4 Pt 0.5000 0.5000 0.5000 [1 per cell]

Computed properties:
Volume, Å³/f.u.: 142
Density of states at the Fermi level, states/eV/cell: 2.90
Total energy, eV per formula unit: -13.2
Calculated formation energy, eV per atom: -0.162

[24]
KRbHg2Ge | PBE | relaxed

Cell: 5.6733 5.6733 6.2195 Å, 90.00 90.00 90.00°
Space group P4/mmm (No. 123)
Asymmetric unit:
1 K 0.0000 0.0000 0.0000 [1 per cell]
2 Rb 0.5000 0.5000 0.0000 [1 per cell]
3 Hg 0.0000 0.5000 0.5000 [2 per cell]
4 Ge 0.0000 0.0000 0.5000 [1 per cell]

Computed properties:
Volume, Å³/f.u.: 200
Density of states at the Fermi level, states/eV/cell: 4.50
Total energy, eV per formula unit: -7.2
Calculated formation energy, eV per atom: 0.012

[25]
K2RbHgGe | PBE | relaxed

Cell: 6.7872 6.7872 5.2511 Å, 90.00 90.00 90.00°
Space group P4/mmm (No. 123)
Asymmetric unit:
1 K 0.0000 0.5000 0.0000 [2 per cell]
2 Rb 0.0000 0.0000 0.5000 [1 per cell]
3 Hg 0.5000 0.5000 0.5000 [1 per cell]
4 Ge 0.5000 0.5000 0.0000 [1 per cell]

Computed properties:
Volume, Å³/f.u.: 242
Density of states at the Fermi level, states/eV/cell: 3.25
Total energy, eV per formula unit: -7.9
Calculated formation energy, eV per atom: 0.028

[26]
K2HgGeS4 | PBE | relaxed

Cell: 8.5503 8.9586 10.7840 Å, 90.00 90.00 90.00°
Space group Imma (No. 74)
Asymmetric unit:
1 K 0.0000 0.0000 0.0000 [4 per cell]
2 K 0.2500 0.2500 0.2500 [4 per cell]
3 Hg 0.0000 0.0000 0.5000 [4 per cell]
4 Ge 0.2500 0.2500 0.7500 [4 per cell]
5 S 0.0000 0.0400 0.7232 [8 per cell]
6 S 0.2345 0.2500 0.9525 [8 per cell]

Computed properties:
Energy relative to the elements, uncorrected, eV per atom: -0.479
Volume, Å³/f.u.: 207
Total energy, eV per formula unit: -27.5